The following is a DFT calculation (GGA-PBE) of a geometry-optimized SrScF2 structure.

Output
- Distance to the lowest polymorph of the same formula: 341 meV per atom
- Formation energy without anion corrections: -2312 meV per atom
- SG: No. 122

Unit cell a=5.4414 b=5.4414 c=6.9328 alpha=66.89 beta=66.89 gamma=90.00
Element x y z (fractional)
F 0.5574 0.1250 0.2500
Sr 0.7500 0.2500 0.5000
Sc 0.2500 0.7500 0.5000
F 0.3750 0.4426 0.7500
F 0.1926 0.6250 0.2500
Sr 0.0000 0.0000 0.0000
F 0.8750 0.8074 0.7500
Sc 0.5000 0.5000 0.0000